Entry 1:
Computed, not measured: CaPu3Tl4O12 after structural relaxation at the PBE level of DFT.

a = 7.513 Å, b = 7.513 Å, c = 7.513 Å
α = 109.47°, β = 109.47°, γ = 109.47°
Site moments in Bohr magnetons follow the coordinates.
Positions (direct):
Ca: 0.000 0.000 0.000  -0.01
Pu: 0.500 0.000 0.500  2.49
Pu: 0.500 0.500 0.000  2.49
Pu: 0.000 0.500 0.500  2.49
Tl: 0.500 0.500 0.500  0.00
Tl: 0.000 0.000 0.500  0.00
Tl: 0.500 0.000 0.000  0.00
Tl: 0.000 0.500 0.000  0.00
O: 0.250 0.500 0.750  -0.12
O: 0.724 0.000 0.724  -0.12
O: 0.276 0.000 0.276  -0.12
O: 0.750 0.500 0.250  -0.12
O: 0.724 0.724 0.000  -0.12
O: 0.276 0.276 0.000  -0.12
O: 0.750 0.250 0.500  -0.12
O: 0.250 0.750 0.500  -0.12
O: 0.500 0.250 0.750  -0.12
O: 0.000 0.724 0.724  -0.12
O: 0.500 0.750 0.250  -0.12
O: 0.000 0.276 0.276  -0.12

space group: Im-3m, No. 229
DOS at the Fermi energy: 4.324 states/eV/f.u.

***

Entry 2:
Computed, not measured: CaPuTl2O8 after structural relaxation at the PBE level of DFT.

a = 5.293 Å, b = 5.285 Å, c = 6.797 Å
α = 90.00°, β = 90.00°, γ = 93.17°
Site moments in Bohr magnetons follow the coordinates.
Positions (direct):
Ca: 0.000 0.000 0.500  0.00
Pu: 0.000 0.000 0.000  0.69
Tl: 0.500 0.500 0.747  0.00
Tl: 0.500 0.500 0.253  0.00
O: 0.168 0.830 0.207  -0.03
O: 0.696 0.697 0.000  0.00
O: 0.832 0.170 0.207  -0.03
O: 0.832 0.170 0.793  -0.03
O: 0.304 0.303 0.000  0.00
O: 0.168 0.830 0.793  -0.03
O: 0.690 0.692 0.500  0.07
O: 0.310 0.308 0.500  0.07

space group: P2/m, No. 10
DOS at the Fermi energy: 8.027 states/eV/f.u.

***

Entry 3:
Computed, not measured: Ca2PuTl3O6 after structural relaxation at the PBE level of DFT.

a = 6.082 Å, b = 6.082 Å, c = 6.790 Å
α = 98.50°, β = 98.50°, γ = 119.75°
Site moments in Bohr magnetons follow the coordinates.
Positions (direct):
Ca: 0.334 0.666 0.000  0.00
Ca: 0.666 0.334 0.000  0.00
Pu: 0.000 0.000 0.000  3.31
Tl: 0.165 0.835 0.500  0.01
Tl: 0.835 0.165 0.500  0.01
Tl: 0.500 0.500 0.500  0.01
O: 0.942 0.643 0.831  -0.07
O: 0.756 0.756 0.184  -0.05
O: 0.058 0.357 0.169  -0.07
O: 0.643 0.942 0.831  -0.07
O: 0.244 0.244 0.816  -0.05
O: 0.357 0.058 0.169  -0.07

space group: C2/m, No. 12
DOS at the Fermi energy: 9.998 states/eV/f.u.

***

Entry 4:
Computed, not measured: CaPuTl2O6 after structural relaxation at the PBE level of DFT.

a = 6.147 Å, b = 6.148 Å, c = 6.133 Å
α = 59.92°, β = 59.92°, γ = 60.00°
Site moments in Bohr magnetons follow the coordinates.
Positions (direct):
Ca: 0.816 0.816 0.552  0.00
Pu: 0.316 0.316 0.052  0.67
Tl: 0.566 0.566 0.302  -0.01
Tl: 0.066 0.066 0.801  -0.01
O: 0.544 0.118 0.281  -0.04
O: 0.118 0.057 0.281  -0.04
O: 0.057 0.544 0.281  -0.04
O: 0.514 0.575 0.822  -0.04
O: 0.575 0.088 0.822  -0.04
O: 0.088 0.515 0.822  -0.04

space group: R-3, No. 148
DOS at the Fermi energy: 5.345 states/eV/f.u.

***

Entry 5:
Computed, not measured: CaTmPuO6 after structural relaxation at the PBE level of DFT.

a = 5.695 Å, b = 5.695 Å, c = 9.655 Å
α = 90.00°, β = 90.00°, γ = 120.00°
Site moments in Bohr magnetons follow the coordinates.
Positions (direct):
Ca: 0.000 0.000 0.000  0.00
Ca: 0.000 0.000 0.500  0.00
Tm: 0.333 0.667 0.250  -0.01
Tm: 0.667 0.333 0.750  -0.01
Pu: 0.667 0.333 0.250  1.38
Pu: 0.333 0.667 0.750  1.38
O: 0.655 0.627 0.138  -0.06
O: 0.972 0.345 0.138  -0.06
O: 0.345 0.972 0.638  -0.06
O: 0.028 0.655 0.862  -0.06
O: 0.373 0.345 0.362  -0.06
O: 0.972 0.627 0.362  -0.06
O: 0.627 0.972 0.862  -0.06
O: 0.655 0.028 0.362  -0.06
O: 0.028 0.373 0.638  -0.06
O: 0.373 0.028 0.138  -0.06
O: 0.627 0.655 0.638  -0.06
O: 0.345 0.373 0.862  -0.06

space group: P-31c, No. 163

***

Entry 6:
Computed, not measured: CaTm2PuO8 after structural relaxation at the PBE level of DFT.

a = 5.023 Å, b = 5.024 Å, c = 7.002 Å
α = 90.00°, β = 90.00°, γ = 90.95°
Site moments in Bohr magnetons follow the coordinates.
Positions (direct):
Ca: 0.000 0.000 0.500  0.01
Tm: 0.500 0.500 0.746  -0.01
Tm: 0.500 0.500 0.254  -0.01
Pu: 0.000 0.000 0.000  0.75
O: 0.185 0.813 0.210  -0.04
O: 0.711 0.713 0.000  -0.03
O: 0.814 0.187 0.210  -0.04
O: 0.815 0.187 0.790  -0.04
O: 0.289 0.287 0.000  -0.03
O: 0.186 0.813 0.790  -0.04
O: 0.680 0.682 0.500  0.21
O: 0.320 0.318 0.500  0.21

space group: P2/m, No. 10
DOS at the Fermi energy: 4.730 states/eV/f.u.

***

Entry 7:
Computed, not measured: Ca2PuUO6 after structural relaxation at the PBE level of DFT.

a = 5.906 Å, b = 5.906 Å, c = 6.113 Å
α = 61.11°, β = 61.11°, γ = 60.00°
Site moments in Bohr magnetons follow the coordinates.
Positions (direct):
Ca: 0.533 0.533 0.401  0.01
Ca: 0.030 0.030 0.909  0.01
Pu: 0.812 0.812 0.563  4.74
U: 0.316 0.316 0.052  1.37
O: 0.596 0.193 0.259  -0.05
O: 0.193 0.952 0.259  -0.05
O: 0.952 0.596 0.259  -0.05
O: 0.434 0.681 0.772  -0.05
O: 0.681 0.114 0.772  -0.05
O: 0.114 0.434 0.772  -0.05

space group: R3, No. 146
DOS at the Fermi energy: 8.024 states/eV/f.u.

***

Entry 8:
Computed, not measured: CaPuUO6 after structural relaxation at the PBE level of DFT.

a = 5.871 Å, b = 5.871 Å, c = 9.484 Å
α = 90.00°, β = 90.00°, γ = 120.00°
Site moments in Bohr magnetons follow the coordinates.
Positions (direct):
Ca: 0.000 0.000 0.000  0.00
Ca: 0.000 0.000 0.500  0.00
Pu: 0.333 0.667 0.250  4.02
Pu: 0.667 0.333 0.750  4.02
U: 0.667 0.333 0.250  0.26
U: 0.333 0.667 0.750  0.26
O: 0.648 0.635 0.139  -0.05
O: 0.987 0.352 0.139  -0.05
O: 0.352 0.987 0.639  -0.05
O: 0.013 0.648 0.861  -0.05
O: 0.365 0.352 0.361  -0.05
O: 0.987 0.635 0.361  -0.05
O: 0.635 0.987 0.861  -0.05
O: 0.648 0.013 0.361  -0.05
O: 0.013 0.365 0.639  -0.05
O: 0.365 0.013 0.139  -0.05
O: 0.635 0.648 0.639  -0.05
O: 0.352 0.365 0.861  -0.05

space group: P-31c, No. 163
DOS at the Fermi energy: 9.106 states/eV/f.u.

***

Entry 9:
Computed, not measured: CaY2PuO8 after structural relaxation at the PBE level of DFT.

a = 4.075 Å, b = 5.291 Å, c = 7.443 Å
α = 90.00°, β = 90.00°, γ = 96.05°
Site moments in Bohr magnetons follow the coordinates.
Positions (direct):
Ca: 0.000 0.000 0.500  0.00
Y: 0.500 0.500 0.749  -0.01
Y: 0.500 0.500 0.251  -0.01
Pu: 0.000 0.000 0.000  1.05
O: 0.043 0.760 0.211  -0.05
O: 0.560 0.774 0.000  -0.06
O: 0.957 0.240 0.211  -0.05
O: 0.957 0.240 0.789  -0.05
O: 0.440 0.226 0.000  -0.06
O: 0.043 0.760 0.789  -0.05
O: 0.506 0.740 0.500  0.26
O: 0.494 0.260 0.500  0.26

space group: P2/m, No. 10
DOS at the Fermi energy: 2.847 states/eV/f.u.

***

Entry 10:
Computed, not measured: CaYPuO6 after structural relaxation at the PBE level of DFT.

a = 5.762 Å, b = 5.762 Å, c = 9.576 Å
α = 90.00°, β = 90.00°, γ = 120.00°
Site moments in Bohr magnetons follow the coordinates.
Positions (direct):
Ca: 0.000 0.000 0.000  0.00
Ca: 0.000 0.000 0.500  0.00
Y: 0.333 0.667 0.250  0.00
Y: 0.667 0.333 0.750  0.00
Pu: 0.667 0.333 0.250  1.38
Pu: 0.333 0.667 0.750  1.38
O: 0.659 0.625 0.137  -0.06
O: 0.966 0.341 0.137  -0.06
O: 0.341 0.966 0.637  -0.06
O: 0.034 0.659 0.863  -0.06
O: 0.375 0.341 0.363  -0.06
O: 0.966 0.625 0.363  -0.06
O: 0.625 0.966 0.863  -0.06
O: 0.659 0.034 0.363  -0.06
O: 0.034 0.375 0.637  -0.06
O: 0.375 0.034 0.137  -0.06
O: 0.625 0.659 0.637  -0.06
O: 0.341 0.375 0.863  -0.06

space group: P-31c, No. 163

***

| no. | formation energy (no corrections) (eV per atom) |
| --- | --- |
| 1 | -2.100 |
| 2 | -1.568 |
| 3 | -2.041 |
| 4 | -1.872 |
| 5 | -2.876 |
| 6 | -2.830 |
| 7 | -3.113 |
| 8 | -3.047 |
| 9 | -2.769 |
| 10 | -2.844 |